A relaxed structure of Er8Mn3Mo5O28, computed with GGA+U.

Cell lengths 7.4284, 7.4284, 11.6252 Å; angles 99.02, 99.02, 60.57 degrees
Atoms (fractional coordinates):
1 Er 0.1176 0.1176 0.2129
2 Er 0.1373 0.6183 0.2442
3 Er 0.3817 0.8627 0.7558
4 Er 0.3884 0.3735 0.7499
5 Er 0.6265 0.6116 0.2501
6 Er 0.6287 0.1354 0.2733
7 Er 0.8646 0.3713 0.7267
8 Er 0.8824 0.8824 0.7871
9 Mn 0.3118 0.6882 0.0000
10 Mn 0.4614 0.5386 0.5000
11 Mn 0.7409 0.2591 0.0000
12 Mo 0.0047 0.4964 0.4958
13 Mo 0.0080 0.9920 0.5000
14 Mo 0.2502 0.2460 0.9907
15 Mo 0.5036 0.9953 0.5042
16 Mo 0.7540 0.7498 0.0093
17 O 0.0005 0.9916 0.3330
18 O 0.0084 0.9995 0.6670
19 O 0.0386 0.1840 0.0177
20 O 0.0566 0.5610 0.0418
21 O 0.1052 0.6862 0.4588
22 O 0.1944 0.2334 0.8090
23 O 0.2282 0.7110 0.8296
24 O 0.2890 0.7718 0.1704
25 O 0.3104 0.3059 0.5412
26 O 0.3138 0.8948 0.5412
27 O 0.3205 0.2515 0.1653
28 O 0.4143 0.0087 0.3420
29 O 0.4355 0.3480 0.9651
30 O 0.4390 0.9434 0.9582
31 O 0.4657 0.4767 0.3278
32 O 0.5233 0.5343 0.6722
33 O 0.5721 0.0027 0.6759
34 O 0.6520 0.5645 0.0349
35 O 0.6941 0.6896 0.4588
36 O 0.7023 0.0853 0.4691
37 O 0.7307 0.2405 0.8308
38 O 0.7485 0.6795 0.8347
39 O 0.7595 0.2693 0.1692
40 O 0.7666 0.8056 0.1910
41 O 0.8160 0.9614 0.9823
42 O 0.9147 0.2977 0.5309
43 O 0.9913 0.5857 0.6580
44 O 0.9973 0.4279 0.3241

Calculated values
Final energy ... -7.8838 eV/atom
Magnetic moment ... 0.99 μB per formula unit
ρ ... 7.35 g/cm3